No. 1
First-principles (PBE) data for a geometry-optimized Tm2Ag3Hg structure, as listed in Alexandria via LeMat-Bulk. Values from VASP.

## Properties
total energy	-19.50	eV per formula unit
energy above the lowest structure with this stoichiometry	0	meV per atom

Cell and atoms, written as Quantum ESPRESSO input:
```
&SYSTEM
  ibrav = 0, nat = 12, ntyp = 3
/
ATOMIC_SPECIES
Ag 107.87 Ag.upf
Tm 168.93 Tm.upf
Hg 200.59 Hg.upf
ATOMIC_POSITIONS angstrom
Ag 0.5343 4.0550 1.3756
Ag 4.0312 0.6914 1.3756
Ag 0.0000 0.0000 2.7511
Ag -1.7484 1.6818 6.9611
Ag 1.7484 -1.6818 6.9611
Ag 2.2828 2.3732 5.5855
Tm 3.4323 3.5683 0.0000
Tm 1.1333 1.1782 0.0000
Tm 2.8745 -0.4804 4.1683
Tm -0.5917 2.8536 4.1683
Hg 0.0000 0.0000 5.5603
Hg 2.2828 2.3732 2.7763
CELL_PARAMETERS angstrom
5.7490 -0.9609 0.0000
-1.1834 5.7073 0.0000
-2.2828 -2.3732 8.3367
```



No. 2
First-principles (PBE) data for a geometry-optimized Tm6AgHg5 structure, as listed in Alexandria via LeMat-Bulk. Values from VASP.

## Properties
total energy	-36.67	eV per formula unit

Cell and atoms, written as Quantum ESPRESSO input:
```
&SYSTEM
  ibrav = 0, nat = 12, ntyp = 3
/
ATOMIC_SPECIES
Hg 200.59 Hg.upf
Ag 107.87 Ag.upf
Tm 168.93 Tm.upf
ATOMIC_POSITIONS angstrom
Hg 3.3207 -1.1592 1.0521
Hg 2.6264 -0.0507 4.4650
Hg 1.9302 1.0459 7.8707
Hg -1.3854 2.2377 6.8382
Hg -0.6995 1.0759 3.3932
Ag 0.0000 0.0000 0.0000
Tm 4.6494 1.5717 6.3233
Tm 0.6030 -1.6664 2.6101
Tm 3.9528 -2.8356 3.6713
Tm 1.3023 2.7401 5.2627
Tm -0.0929 -0.5765 6.0124
Tm 3.2542 -1.7449 7.0729
CELL_PARAMETERS angstrom
-2.0857 -2.1837 4.1772
6.6415 -2.3184 2.1042
0.0008 5.4972 6.0542
```



The records above yield formation enthalpy at 0 K values of -0.28; -0.46 eV/atom, respectively.
The records above yield M_tot values of 0.00; 0.00 μB/cell, respectively.